Sr2ErPaSe6: optimized geometry, PBE.

V, A^3/atom: 29.7
Uncorrected formation energy, eV per atom: -1.773
Space-group type: P2_1/c
Size of the total moment, μB/f.u.: 0.0

```
data_Sr2ErPaSe6
_cell_length_a 7.217
_cell_length_b 7.791
_cell_length_c 12.741
_cell_angle_alpha 90.00
_cell_angle_beta 123.92
_cell_angle_gamma 90.00
_symmetry_space_group_name_H-M 'P 1'
_symmetry_Int_Tables_number 1
loop_
_symmetry_equiv_pos_as_xyz
'x,y,z'
loop_
_atom_site_label
_atom_site_type_symbol
_atom_site_fract_x
_atom_site_fract_y
_atom_site_fract_z
Sr1 Sr 0.216 0.088 0.247
Sr2 Sr 0.216 0.412 0.747
Sr3 Sr 0.784 0.588 0.253
Sr4 Sr 0.784 0.912 0.753
Er1 Er 0.000 0.000 0.500
Er2 Er 0.000 0.500 0.000
Pa1 Pa 0.500 0.000 0.000
Pa2 Pa 0.500 0.500 0.500
Se1 Se 0.129 0.190 0.941
Se2 Se 0.129 0.310 0.441
Se3 Se 0.255 0.696 0.938
Se4 Se 0.255 0.804 0.438
Se5 Se 0.370 0.034 0.752
Se6 Se 0.370 0.466 0.252
Se7 Se 0.630 0.534 0.748
Se8 Se 0.630 0.966 0.248
Se9 Se 0.745 0.196 0.562
Se10 Se 0.745 0.304 0.062
Se11 Se 0.871 0.690 0.559
Se12 Se 0.871 0.810 0.059
```

TbEr2PaSe4: optimized geometry, PBE.

V, A^3/atom: 23.6
Uncorrected formation energy, eV per atom: -1.576
Space-group type: P2/m
Size of the total moment, μB/f.u.: 0.4

```
data_TbEr2PaSe4
_cell_length_a 7.014
_cell_length_b 4.003
_cell_length_c 7.104
_cell_angle_alpha 90.00
_cell_angle_beta 108.72
_cell_angle_gamma 90.00
_symmetry_space_group_name_H-M 'P 1'
_symmetry_Int_Tables_number 1
loop_
_symmetry_equiv_pos_as_xyz
'x,y,z'
loop_
_atom_site_label
_atom_site_type_symbol
_atom_site_fract_x
_atom_site_fract_y
_atom_site_fract_z
Tb1 Tb 0.000 0.000 0.000
Er1 Er 0.000 0.500 0.500
Er2 Er 0.500 0.000 0.500
Pa1 Pa 0.500 0.500 0.000
Se1 Se 0.246 0.000 0.743
Se2 Se 0.251 0.500 0.256
Se3 Se 0.749 0.500 0.744
Se4 Se 0.754 0.000 0.257
```

ErPaTe2Se: optimized geometry, PBE.

V, A^3/atom: 28.0
Uncorrected formation energy, eV per atom: -1.116
Space-group type: P4/nmm
Size of the total moment, μB/f.u.: 1.0

```
data_ErPaTe2Se
_cell_length_a 4.351
_cell_length_b 4.351
_cell_length_c 14.794
_cell_angle_alpha 90.00
_cell_angle_beta 90.00
_cell_angle_gamma 90.00
_symmetry_space_group_name_H-M 'P 1'
_symmetry_Int_Tables_number 1
loop_
_symmetry_equiv_pos_as_xyz
'x,y,z'
loop_
_atom_site_label
_atom_site_type_symbol
_atom_site_fract_x
_atom_site_fract_y
_atom_site_fract_z
Er1 Er 0.250 0.250 0.085
Er2 Er 0.750 0.750 0.915
Pa1 Pa 0.250 0.250 0.630
Pa2 Pa 0.750 0.750 0.370
Te1 Te 0.250 0.250 0.294
Te2 Te 0.250 0.250 0.877
Te3 Te 0.750 0.750 0.123
Te4 Te 0.750 0.750 0.706
Se1 Se 0.250 0.750 0.500
Se2 Se 0.750 0.250 0.500
```

Er2PaTl2Se6: optimized geometry, PBE.

V, A^3/atom: 31.8
Uncorrected formation energy, eV per atom: -1.377
Space-group type: C2/m
Size of the total moment, μB/f.u.: 1.0

```
data_Er2PaTl2Se6
_cell_length_a 7.170
_cell_length_b 7.170
_cell_length_c 8.220
_cell_angle_alpha 98.40
_cell_angle_beta 98.40
_cell_angle_gamma 120.06
_symmetry_space_group_name_H-M 'P 1'
_symmetry_Int_Tables_number 1
loop_
_symmetry_equiv_pos_as_xyz
'x,y,z'
loop_
_atom_site_label
_atom_site_type_symbol
_atom_site_fract_x
_atom_site_fract_y
_atom_site_fract_z
Er1 Er 0.167 0.833 0.000
Er2 Er 0.833 0.167 0.000
Pa1 Pa 0.500 0.500 0.000
Tl1 Tl 0.333 0.667 0.500
Tl2 Tl 0.667 0.333 0.500
Se1 Se 0.100 0.434 0.799
Se2 Se 0.235 0.235 0.201
Se3 Se 0.434 0.100 0.799
Se4 Se 0.566 0.900 0.201
Se5 Se 0.765 0.765 0.799
Se6 Se 0.900 0.566 0.201
```

Er2PaTl3Se6: optimized geometry, PBE.

V, A^3/atom: 29.6
Uncorrected formation energy, eV per atom: -1.214
Space-group type: C2/m
Size of the total moment, μB/f.u.: 2.0

```
data_Er2PaTl3Se6
_cell_length_a 7.177
_cell_length_b 7.177
_cell_length_c 8.302
_cell_angle_alpha 98.29
_cell_angle_beta 98.29
_cell_angle_gamma 119.98
_symmetry_space_group_name_H-M 'P 1'
_symmetry_Int_Tables_number 1
loop_
_symmetry_equiv_pos_as_xyz
'x,y,z'
loop_
_atom_site_label
_atom_site_type_symbol
_atom_site_fract_x
_atom_site_fract_y
_atom_site_fract_z
Er1 Er 0.166 0.834 0.000
Er2 Er 0.834 0.166 0.000
Pa1 Pa 0.500 0.500 0.000
Tl1 Tl 0.000 0.000 0.500
Tl2 Tl 0.332 0.668 0.500
Tl3 Tl 0.668 0.332 0.500
Se1 Se 0.098 0.433 0.799
Se2 Se 0.232 0.232 0.201
Se3 Se 0.433 0.098 0.799
Se4 Se 0.567 0.902 0.201
Se5 Se 0.768 0.768 0.799
Se6 Se 0.902 0.567 0.201
```

ErPaTl2Se4: optimized geometry, PBE.

V, A^3/atom: 29.4
Uncorrected formation energy, eV per atom: -1.146
Space-group type: P2/m
Size of the total moment, μB/f.u.: 2.0

```
data_ErPaTl2Se4
_cell_length_a 7.214
_cell_length_b 4.100
_cell_length_c 8.284
_cell_angle_alpha 90.00
_cell_angle_beta 106.03
_cell_angle_gamma 90.00
_symmetry_space_group_name_H-M 'P 1'
_symmetry_Int_Tables_number 1
loop_
_symmetry_equiv_pos_as_xyz
'x,y,z'
loop_
_atom_site_label
_atom_site_type_symbol
_atom_site_fract_x
_atom_site_fract_y
_atom_site_fract_z
Er1 Er 0.000 0.000 0.000
Pa1 Pa 0.500 0.500 0.000
Tl1 Tl 0.000 0.500 0.500
Tl2 Tl 0.500 0.000 0.500
Se1 Se 0.231 0.500 0.201
Se2 Se 0.262 0.000 0.793
Se3 Se 0.738 0.000 0.207
Se4 Se 0.769 0.500 0.799
```

Er3PaTl4Se8: optimized geometry, PBE.

V, A^3/atom: 29.4
Uncorrected formation energy, eV per atom: -1.253
Space-group type: R-3m
Size of the total moment, μB/f.u.: 2.0

```
data_Er3PaTl4Se8
_cell_length_a 9.225
_cell_length_b 9.225
_cell_length_c 9.225
_cell_angle_alpha 53.44
_cell_angle_beta 53.44
_cell_angle_gamma 53.44
_symmetry_space_group_name_H-M 'P 1'
_symmetry_Int_Tables_number 1
loop_
_symmetry_equiv_pos_as_xyz
'x,y,z'
loop_
_atom_site_label
_atom_site_type_symbol
_atom_site_fract_x
_atom_site_fract_y
_atom_site_fract_z
Er1 Er 0.000 0.500 0.500
Er2 Er 0.500 0.000 0.500
Er3 Er 0.500 0.500 0.000
Pa1 Pa 0.000 0.000 0.000
Tl1 Tl 0.000 0.000 0.500
Tl2 Tl 0.000 0.500 0.000
Tl3 Tl 0.500 0.000 0.000
Tl4 Tl 0.500 0.500 0.500
Se1 Se 0.236 0.236 0.732
Se2 Se 0.236 0.732 0.236
Se3 Se 0.267 0.267 0.267
Se4 Se 0.268 0.764 0.764
Se5 Se 0.732 0.236 0.236
Se6 Se 0.733 0.733 0.733
Se7 Se 0.764 0.268 0.764
Se8 Se 0.764 0.764 0.268
```

ErTm2PaSe4: optimized geometry, PBE.

V, A^3/atom: 23.2
Uncorrected formation energy, eV per atom: -1.538
Space-group type: P2/m
Size of the total moment, μB/f.u.: 0.1

```
data_ErTm2PaSe4
_cell_length_a 7.002
_cell_length_b 3.969
_cell_length_c 7.044
_cell_angle_alpha 90.00
_cell_angle_beta 108.59
_cell_angle_gamma 90.00
_symmetry_space_group_name_H-M 'P 1'
_symmetry_Int_Tables_number 1
loop_
_symmetry_equiv_pos_as_xyz
'x,y,z'
loop_
_atom_site_label
_atom_site_type_symbol
_atom_site_fract_x
_atom_site_fract_y
_atom_site_fract_z
Er1 Er 0.000 0.000 0.000
Tm1 Tm 0.000 0.500 0.500
Tm2 Tm 0.500 0.000 0.500
Pa1 Pa 0.500 0.500 0.000
Se1 Se 0.244 0.000 0.742
Se2 Se 0.248 0.500 0.255
Se3 Se 0.752 0.500 0.745
Se4 Se 0.756 0.000 0.258
```

Er2TmPaSe4: optimized geometry, PBE.

V, A^3/atom: 23.3
Uncorrected formation energy, eV per atom: -1.545
Space-group type: P2/m
Size of the total moment, μB/f.u.: 0.2

```
data_Er2TmPaSe4
_cell_length_a 6.999
_cell_length_b 3.982
_cell_length_c 7.057
_cell_angle_alpha 90.00
_cell_angle_beta 108.70
_cell_angle_gamma 90.00
_symmetry_space_group_name_H-M 'P 1'
_symmetry_Int_Tables_number 1
loop_
_symmetry_equiv_pos_as_xyz
'x,y,z'
loop_
_atom_site_label
_atom_site_type_symbol
_atom_site_fract_x
_atom_site_fract_y
_atom_site_fract_z
Er1 Er 0.000 0.000 0.000
Er2 Er 0.000 0.500 0.500
Tm1 Tm 0.500 0.000 0.500
Pa1 Pa 0.500 0.500 0.000
Se1 Se 0.245 0.000 0.744
Se2 Se 0.249 0.500 0.254
Se3 Se 0.751 0.500 0.746
Se4 Se 0.755 0.000 0.256
```

ErPaSi4: optimized geometry, PBE.

V, A^3/atom: 19.7
Uncorrected formation energy, eV per atom: -0.355
Space-group type: Pbam
Size of the total moment, μB/f.u.: 0.0
Polymorph energy (0 for the lowest one), meV/atom: 0

```
data_ErPaSi4
_cell_length_a 8.402
_cell_length_b 14.356
_cell_length_c 3.923
_cell_angle_alpha 90.00
_cell_angle_beta 90.00
_cell_angle_gamma 90.00
_symmetry_space_group_name_H-M 'P 1'
_symmetry_Int_Tables_number 1
loop_
_symmetry_equiv_pos_as_xyz
'x,y,z'
loop_
_atom_site_label
_atom_site_type_symbol
_atom_site_fract_x
_atom_site_fract_y
_atom_site_fract_z
Er1 Er 0.133 0.084 0.000
Er2 Er 0.367 0.584 0.000
Er3 Er 0.633 0.416 0.000
Er4 Er 0.867 0.916 0.000
Pa1 Pa 0.095 0.367 0.000
Pa2 Pa 0.405 0.867 0.000
Pa3 Pa 0.595 0.133 0.000
Pa4 Pa 0.905 0.633 0.000
Si1 Si 0.039 0.216 0.500
Si2 Si 0.126 0.531 0.500
Si3 Si 0.147 0.921 0.500
Si4 Si 0.186 0.691 0.500
Si5 Si 0.314 0.191 0.500
Si6 Si 0.353 0.421 0.500
Si7 Si 0.374 0.031 0.500
Si8 Si 0.461 0.716 0.500
Si9 Si 0.539 0.284 0.500
Si10 Si 0.626 0.969 0.500
Si11 Si 0.647 0.579 0.500
Si12 Si 0.686 0.809 0.500
Si13 Si 0.814 0.309 0.500
Si14 Si 0.853 0.079 0.500
Si15 Si 0.874 0.469 0.500
Si16 Si 0.961 0.784 0.500
```

ErPaSi2: optimized geometry, PBE.

V, A^3/atom: 21.4
Uncorrected formation energy, eV per atom: -0.593
Space-group type: Amm2
Size of the total moment, μB/f.u.: 0.0
Polymorph energy (0 for the lowest one), meV/atom: 0

```
data_ErPaSi2
_cell_length_a 3.936
_cell_length_b 5.618
_cell_length_c 5.618
_cell_angle_alpha 43.64
_cell_angle_beta 90.00
_cell_angle_gamma 90.00
_symmetry_space_group_name_H-M 'P 1'
_symmetry_Int_Tables_number 1
loop_
_symmetry_equiv_pos_as_xyz
'x,y,z'
loop_
_atom_site_label
_atom_site_type_symbol
_atom_site_fract_x
_atom_site_fract_y
_atom_site_fract_z
Er1 Er 0.000 0.000 0.000
Pa1 Pa 0.500 0.720 0.720
Si1 Si 0.000 0.276 0.276
Si2 Si 0.500 0.433 0.433
```

ErPaSi: optimized geometry, PBE.

V, A^3/atom: 23.5
Uncorrected formation energy, eV per atom: 0.036
Space-group type: P3m1
Size of the total moment, μB/f.u.: 0.0
Polymorph energy (0 for the lowest one), meV/atom: 102

```
data_ErPaSi
_cell_length_a 4.826
_cell_length_b 4.826
_cell_length_c 3.495
_cell_angle_alpha 90.00
_cell_angle_beta 90.00
_cell_angle_gamma 120.00
_symmetry_space_group_name_H-M 'P 1'
_symmetry_Int_Tables_number 1
loop_
_symmetry_equiv_pos_as_xyz
'x,y,z'
loop_
_atom_site_label
_atom_site_type_symbol
_atom_site_fract_x
_atom_site_fract_y
_atom_site_fract_z
Er1 Er 0.000 0.000 0.000
Pa1 Pa 0.333 0.667 0.530
Si1 Si 0.667 0.333 0.225
```